The following is a PBE calculation of crystalline Nd3Ga11 at its relaxed geometry, from Alexandria.

It has space group Immm (No. 71), with a = 4.282 Å, b = 10.186 Å, c = 13.029 Å, α = 90.00°, β = 90.00° and γ = 90.00°. The asymmetric unit holds Nd at (0.000, 0.000, 0.000), Nd at (0.000, 0.000, 0.324), Ga at (0.000, 0.221, 0.500), Ga at (0.000, 0.271, 0.145), Ga at (0.000, 0.375, 0.334) and Ga at (0.000, 0.500, 0.000).

The energy is -0.2855 Ry/atom. For the formation energy, the calculation gives -0.484 eV per atom. The value obtained for the total moment is 0.00 Bohr magnetons per cell.